Material: Hf2GaCl
Method: DFT, GGA-PBEsol
State: relaxed

```
Hf2GaCl
1.0
0.000 3.287 3.287
3.287 0.000 3.287
3.287 3.287 0.000
Hf Ga Cl
2 1 1
Cartesian
1.644 1.644 1.644 Hf
4.931 4.931 4.931 Hf
0.000 0.000 0.000 Ga
3.287 3.287 3.287 Cl
```

**ΔE_f (raw)**: -1.20 eV/f.u.
**E**: -6.888 eV per atom
**SG**: Fm-3m, No. 225


Material: NdCrSb3
Method: DFT, GGA-PBEsol
State: relaxed

```
NdCrSb3
1.0
12.903 0.000 0.000
0.000 6.153 0.000
0.000 0.000 5.974
Nd Cr Sb
4 4 12
Cartesian
2.479 0.020 1.494 Nd
2.479 3.056 4.481 Nd
10.424 3.097 1.494 Nd
10.424 6.132 4.481 Nd
5.247 4.614 0.000 Cr
5.247 4.614 2.987 Cr
7.656 1.538 0.000 Cr
7.656 1.538 2.987 Cr
0.020 4.614 0.000 Sb
0.020 4.614 2.987 Sb
3.635 0.007 4.481 Sb
3.635 3.069 1.494 Sb
5.649 0.618 1.494 Sb
5.649 2.458 4.481 Sb
7.253 3.695 1.494 Sb
7.253 5.534 4.481 Sb
9.268 3.084 4.481 Sb
9.268 6.145 1.494 Sb
12.883 1.538 0.000 Sb
12.883 1.538 2.987 Sb
```

**ΔE_f (raw)**: -2.43 eV/f.u.
**E**: -6.303 eV per atom
**SG**: Pbcm, No. 57


Material: TlTe2Os
Method: DFT, GGA-PBEsol
State: relaxed

```
TlTe2Os
1.0
3.593 -3.718 0.000
3.593 3.718 0.000
-0.134 0.000 3.294
Tl Te Os
1 2 1
Cartesian
0.000 0.000 0.000 Tl
1.729 1.859 1.647 Te
1.729 -1.859 1.647 Te
3.593 0.000 0.000 Os
```

**ΔE_f (raw)**: 3.44 eV/f.u.
**E**: -4.614 eV per atom
**SG**: C2/m, No. 12


Material: Li4CuF7
Method: DFT, GGA-PBEsol
State: relaxed

```
Li4CuF7
1.0
0.000 4.114 4.114
4.114 0.000 4.114
4.114 4.114 0.000
Li Cu F
4 1 7
Cartesian
1.011 1.011 1.011 Li
3.103 3.103 1.011 Li
3.103 1.011 3.103 Li
1.011 3.103 3.103 Li
6.170 6.170 6.170 Cu
0.000 0.000 0.000 F
6.170 6.170 4.249 F
6.170 4.249 6.170 F
8.092 6.170 6.170 F
4.249 6.170 6.170 F
6.170 8.092 6.170 F
6.170 6.170 8.092 F
```

**Relative energy among the computed polymorphs**: 0.0000 eV per atom
**ΔE_f (raw)**: -28.89 eV/f.u.
**E**: -4.549 eV per atom
**SG**: F-43m, No. 216


Material: Na9Li7V16O48
Method: DFT, GGA-PBEsol
State: relaxed

```
Na9Li7V16O48
1.0
5.113 -4.538 0.000
5.113 4.538 0.000
-2.221 0.000 21.820
Na Li V O
9 7 16 48
Cartesian
0.000 0.000 0.000 Na
0.911 1.171 16.313 Na
2.986 1.781 8.203 Na
5.113 1.137 0.000 Na
5.020 1.781 13.618 Na
7.095 1.171 5.507 Na
1.784 -2.705 19.029 Na
4.003 -3.372 10.910 Na
6.221 -2.705 2.792 Na
1.879 2.937 19.016 Li
2.003 -0.007 5.484 Li
6.126 2.937 2.804 Li
4.003 0.007 10.910 Li
3.001 -1.591 8.198 Li
6.003 -0.007 16.336 Li
5.005 -1.591 13.623 Li
0.029 0.038 8.160 V
4.126 2.892 5.457 V
-0.258 0.076 19.034 V
3.880 2.892 16.363 V
2.050 0.044 13.587 V
1.041 -1.627 10.874 V
3.977 0.012 2.765 V
2.933 -1.590 0.026 V
4.028 0.012 19.056 V
3.040 -1.623 16.315 V
5.956 0.044 8.234 V
4.966 -1.623 5.505 V
8.264 0.076 2.786 V
5.073 -1.590 21.795 V
7.977 0.038 13.661 V
6.965 -1.627 10.947 V
3.269 -4.412 19.494 O
1.692 1.435 0.372 O
1.477 2.854 21.143 O
0.306 1.590 18.719 O
4.027 3.718 7.042 O
2.319 2.900 16.921 O
1.504 1.577 13.847 O
3.979 3.718 14.778 O
-0.069 -0.763 9.757 O
2.394 1.378 10.681 O
1.592 0.040 7.608 O
-0.101 -0.829 17.493 O
3.608 1.355 5.742 O
2.426 0.028 3.346 O
5.686 2.900 4.899 O
4.512 1.548 2.498 O
0.943 -0.825 12.471 O
6.529 2.854 0.677 O
0.757 -0.705 20.286 O
3.494 1.548 19.323 O
1.950 -0.750 15.187 O
4.397 1.355 16.079 O
3.612 0.051 13.032 O
4.079 -0.809 1.171 O
5.611 1.378 11.139 O
4.394 0.051 8.788 O
2.603 -1.635 10.320 O
6.502 1.577 7.974 O
2.923 -0.832 17.922 O
3.403 -1.640 6.058 O
7.699 1.590 3.101 O
5.083 -0.832 3.899 O
6.314 1.435 21.448 O
3.926 -0.809 20.649 O
5.580 0.028 18.474 O
6.055 -0.750 6.634 O
2.478 -3.151 16.555 O
6.414 0.040 14.213 O
4.603 -1.640 15.762 O
3.400 -2.965 13.394 O
7.249 -0.705 1.535 O
5.403 -1.635 11.500 O
4.605 -2.965 8.427 O
7.062 -0.825 9.349 O
8.107 -0.829 4.328 O
5.528 -3.151 5.265 O
4.736 -4.412 2.326 O
8.075 -0.763 12.063 O
```

**ΔE_f (raw)**: -184.56 eV/f.u.
**E**: -7.713 eV per atom
**SG**: C2, No. 5


Material: SrMgTc2
Method: DFT, GGA-PBEsol
State: relaxed

```
SrMgTc2
1.0
-1.647 2.295 4.866
1.647 -2.295 4.866
1.647 2.295 -4.866
Sr Mg Tc
1 1 2
Cartesian
0.000 0.000 0.000 Sr
0.000 0.000 4.866 Mg
1.647 0.000 2.520 Tc
0.000 2.295 2.346 Tc
```

**E**: -5.593 eV per atom
**SG**: Immm, No. 71


Material: SiTe2Au
Method: DFT, GGA-PBEsol
State: relaxed

```
SiTe2Au
1.0
3.925 0.000 0.000
0.000 4.019 0.000
0.000 0.000 5.923
Si Te Au
1 2 1
Cartesian
0.000 0.000 0.000 Si
1.963 0.000 2.962 Te
1.963 2.009 0.000 Te
0.000 2.009 2.962 Au
```

**ΔE_f (raw)**: 1.55 eV/f.u.
**E**: -3.793 eV per atom
**SG**: Pmmm, No. 47


Material: KTlAs2
Method: DFT, GGA-PBEsol
State: relaxed

```
KTlAs2
1.0
6.231 -1.834 0.000
6.231 1.834 0.000
-1.749 0.000 4.976
K Tl As
1 1 2
Cartesian
0.000 0.000 0.000 K
9.217 0.000 1.740 Tl
1.525 0.000 4.075 As
6.555 0.000 2.897 As
```

**Relative energy among the computed polymorphs**: 0.0003 eV per atom
**E**: -3.694 eV per atom
**SG**: Cm, No. 8


Material: Sb2MoSe
Method: DFT, GGA-PBEsol
State: relaxed

```
Sb2MoSe
1.0
6.539 0.000 0.000
0.000 6.439 0.000
-1.486 0.000 18.257
Sb Mo Se
16 8 8
Cartesian
0.382 0.805 1.376 Sb
-0.360 2.415 10.505 Sb
0.382 4.023 1.378 Sb
-0.361 5.636 10.507 Sb
1.009 0.677 4.175 Sb
0.267 2.542 13.303 Sb
1.006 4.147 4.177 Sb
0.263 5.511 13.306 Sb
4.790 0.928 4.951 Sb
4.047 2.292 14.080 Sb
4.787 3.897 4.954 Sb
4.044 5.762 14.082 Sb
5.414 0.803 7.750 Sb
4.671 2.416 16.879 Sb
5.414 4.024 7.753 Sb
4.671 5.635 16.881 Sb
1.400 4.026 9.021 Mo
0.657 5.633 18.150 Mo
1.402 0.803 9.024 Mo
0.659 2.417 18.152 Mo
4.394 4.022 0.105 Mo
3.651 5.637 9.233 Mo
4.396 0.806 0.107 Mo
3.653 2.413 9.236 Mo
1.356 0.806 16.398 Se
2.099 2.413 7.270 Se
1.356 4.024 16.396 Se
2.099 5.635 7.267 Se
2.954 0.805 10.990 Se
3.697 2.415 1.861 Se
2.955 4.026 10.987 Se
3.698 5.633 1.859 Se
```

**ΔE_f (raw)**: -1.17 eV/f.u.
**E**: -6.475 eV per atom
**SG**: P2_1/c, No. 14


Material: MgSi4Mo
Method: DFT, GGA-PBEsol
State: relaxed

```
MgSi4Mo
1.0
0.000 3.479 3.479
3.479 0.000 3.479
3.479 3.479 0.000
Mg Si Mo
1 4 1
Cartesian
0.000 0.000 0.000 Mg
2.615 2.615 2.615 Si
4.343 4.343 2.615 Si
4.343 2.615 4.343 Si
2.615 4.343 4.343 Si
5.219 5.219 5.219 Mo
```

**ΔE_f (raw)**: 1.34 eV/f.u.
**E**: -5.855 eV per atom
**SG**: F-43m, No. 216


Material: Li3ScPt
Method: DFT, GGA-PBEsol
State: relaxed

```
Li3ScPt
1.0
4.315 0.000 0.000
0.000 4.315 0.000
0.000 0.000 4.315
Li Sc Pt
3 1 1
Cartesian
0.000 0.000 2.158 Li
0.000 2.158 0.000 Li
2.158 0.000 0.000 Li
0.000 0.000 0.000 Sc
2.158 2.158 2.158 Pt
```

**E**: -2.674 eV per atom
**SG**: Pm-3m, No. 221


Material: Hf2Ga3
Method: DFT, GGA-PBEsol
State: relaxed

```
Hf2Ga3
1.0
0.000 6.750 2.711
4.654 0.000 2.711
4.654 6.750 0.000
Hf Ga
4 6
Cartesian
5.283 4.082 2.711 Hf
6.352 7.457 4.066 Hf
4.025 9.418 2.711 Hf
2.956 6.043 4.066 Hf
4.011 1.546 2.650 Ga
1.684 1.829 1.295 Ga
2.970 4.921 1.295 Ga
4.654 6.750 2.016 Ga
6.981 10.125 3.371 Ga
5.297 11.954 2.650 Ga
```

**E**: -6.768 eV per atom
**SG**: Fdd2, No. 43


Material: EuTlPS4
Method: DFT, GGA-PBEsol
State: relaxed

```
EuTlPS4
1.0
11.974 0.000 0.000
0.000 6.446 0.000
0.000 0.000 8.532
Eu Tl P S
4 4 4 16
Cartesian
1.685 1.612 0.926 Eu
4.302 4.835 5.192 Eu
7.672 1.612 3.340 Eu
10.289 4.835 7.606 Eu
1.243 1.612 5.351 Tl
4.744 4.835 1.085 Tl
7.231 1.612 7.447 Tl
10.731 4.835 3.181 Tl
1.815 4.835 7.477 P
4.173 1.612 3.211 P
7.802 4.835 5.322 P
10.160 1.612 1.056 P
0.610 4.835 5.831 S
0.765 4.835 0.704 S
2.927 3.244 3.127 S
2.927 6.425 3.127 S
3.060 0.021 7.393 S
3.060 3.202 7.393 S
5.222 1.612 4.970 S
5.377 1.612 1.565 S
6.597 4.835 6.967 S
6.752 4.835 3.562 S
8.914 3.244 1.139 S
8.914 6.425 1.139 S
9.047 0.021 5.405 S
9.047 3.202 5.405 S
11.209 1.612 7.828 S
11.364 1.612 2.701 S
```

**ΔE_f (raw)**: -6.43 eV/f.u.
**E**: -6.135 eV per atom
**SG**: Pnma, No. 62


Material: Tm2Ga3Ni
Method: DFT, GGA-PBEsol
State: relaxed

```
Tm2Ga3Ni
1.0
4.965 -2.129 0.000
4.965 2.129 0.000
-4.629 0.000 5.063
Tm Ga Ni
2 3 1
Cartesian
0.000 0.000 0.000 Tm
-1.865 0.000 2.980 Tm
2.880 0.000 0.878 Ga
1.114 0.000 3.108 Ga
5.248 0.000 1.973 Ga
7.032 0.000 0.076 Ni
```

**E**: -5.020 eV per atom
**SG**: Cm, No. 8


Material: LaIrF2
Method: DFT, GGA-PBEsol
State: relaxed

```
LaIrF2
1.0
0.000 3.142 3.142
3.142 0.000 3.142
3.142 3.142 0.000
La Ir F
1 1 2
Cartesian
0.000 0.000 0.000 La
3.142 3.142 3.142 Ir
1.571 1.571 1.571 F
4.713 4.713 4.713 F
```

**Relative energy among the computed polymorphs**: 0.2269 eV per atom
**ΔE_f (raw)**: -5.36 eV/f.u.
**E**: -6.097 eV per atom
**SG**: Fm-3m, No. 225


Material: CuRuSe2
Method: DFT, GGA-PBEsol
State: relaxed

```
CuRuSe2
1.0
-2.745 2.745 5.340
2.745 -2.745 5.340
2.745 2.745 -5.340
Cu Ru Se
2 2 4
Cartesian
0.000 0.000 0.000 Cu
0.000 2.745 2.670 Cu
2.745 0.000 2.670 Ru
0.000 0.000 5.340 Ru
1.373 -1.365 4.005 Se
1.380 1.373 1.335 Se
1.373 4.110 -1.335 Se
1.365 1.373 6.675 Se
```

**ΔE_f (raw)**: 0.19 eV/f.u.
**E**: -5.504 eV per atom
**SG**: I-42d, No. 122


Material: ZnTcRh2
Method: DFT, GGA-PBEsol
State: relaxed

```
ZnTcRh2
1.0
-1.416 2.181 4.370
1.416 -2.181 4.370
1.416 2.181 -4.370
Zn Tc Rh
1 1 2
Cartesian
0.000 0.000 0.000 Zn
0.000 2.181 2.255 Tc
1.416 0.000 2.029 Rh
0.000 0.000 4.393 Rh
```

**E**: -7.261 eV per atom
**SG**: Imm2, No. 44


Material: ZrAg3
Method: DFT, GGA-PBEsol
State: relaxed

```
ZrAg3
1.0
-1.514 4.830 2.457
1.514 -4.830 2.457
1.514 4.830 -2.457
Zr Ag
1 3
Cartesian
0.000 0.000 0.000 Zr
1.514 2.522 -0.049 Ag
0.000 4.830 0.005 Ag
0.000 2.308 2.408 Ag
```

**E**: -4.702 eV per atom
**SG**: Imm2, No. 44


Material: ZrTcPb2
Method: DFT, GGA-PBEsol
State: relaxed

```
ZrTcPb2
1.0
0.000 3.429 3.429
3.429 0.000 3.429
3.429 3.429 0.000
Zr Tc Pb
1 1 2
Cartesian
0.000 0.000 0.000 Zr
3.429 3.429 3.429 Tc
1.714 1.714 1.714 Pb
5.143 5.143 5.143 Pb
```

**Relative energy among the computed polymorphs**: 0.0698 eV per atom
**E**: -6.794 eV per atom
**SG**: Fm-3m, No. 225


Material: Be2Pt
Method: DFT, GGA-PBEsol
State: relaxed

```
Be2Pt
1.0
3.709 0.000 0.000
-1.854 3.212 0.000
0.000 0.000 2.603
Be Pt
2 1
Cartesian
0.000 2.141 0.000 Be
1.854 1.071 0.000 Be
0.000 0.000 1.301 Pt
```

**Relative energy among the computed polymorphs**: 0.1332 eV per atom
**E**: -5.503 eV per atom
**SG**: P6/mmm, No. 191


| no. | V (Å³ per cell) |
| --- | --- |
| 1 | 71.0 |
| 2 | 474.3 |
| 3 | 88.0 |
| 4 | 139.2 |
| 5 | 1012.5 |
| 6 | 73.5 |
| 7 | 93.4 |
| 8 | 113.7 |
| 9 | 768.7 |
| 10 | 84.2 |
| 11 | 80.3 |
| 12 | 170.3 |
| 13 | 658.6 |
| 14 | 107.0 |
| 15 | 62.0 |
| 16 | 161.0 |
| 17 | 54.0 |
| 18 | 71.9 |
| 19 | 80.6 |
| 20 | 31.0 |